No. 1
LaAlHg | GGA-PBE | optimized geometry

Results
Total energy = -20.93 eV/cell
DOS(E_F) = 1.37 states/eV/f.u.
E_form = -0.498 eV/atom
Space-group type = Imm2

Unit cell a=4.7877 b=6.1220 c=6.1220 alpha=97.49 beta=113.03 gamma=66.97
Sites, in units of the cell vectors:
La  0.8471  0.1175  0.3335
Al  0.5346  0.1262  0.7172
Hg  0.0585  0.2752  0.9139
Al  0.1596  0.5012  0.3422
Hg  0.6356  0.6980  0.4911
La  0.3471  0.6857  0.9017


No. 2
TbErAu2 | GGA-PBE | optimized geometry

Results
Total energy = -19.29 eV/cell
DOS(E_F) = 2.36 states/eV/f.u.
ΔE to the lowest computed polymorph = 0 meV per atom
E_form = -0.885 eV/atom
Space-group type = Pm

Unit cell a=3.7025 b=4.6926 c=5.7983 alpha=90.00 beta=108.53 gamma=90.00
Sites, in units of the cell vectors:
Au  0.9938  0.0000  0.5266
Tb  0.7214  0.0000  0.9830
Au  0.1711  0.5000  0.8813
Er  0.4446  0.5000  0.4272


No. 3
ZnTc2Au | GGA-PBE | optimized geometry

Results
Total energy = -24.02 eV/cell
DOS(E_F) = 4.07 states/eV/f.u.
E_form = 0.317 eV/atom
Space-group type = F-43m

Unit cell a=4.4310 b=4.4310 c=4.4310 alpha=60.00 beta=60.00 gamma=60.00
Sites, in units of the cell vectors:
Tc  0.0000  0.0000  0.0000
Au  0.5000  0.5000  0.5000
Zn  0.7500  0.7500  0.7500
Tc  0.2500  0.2500  0.2500


No. 4
BaAs2Pb | GGA-PBE | optimized geometry

Results
Total energy = -16.23 eV/cell
DOS(E_F) = 1.62 states/eV/f.u.
E_form = -0.325 eV/atom
Space-group type = Cmmm

Unit cell a=5.8172 b=5.8175 c=3.4056 alpha=90.00 beta=90.00 gamma=89.90
Sites, in units of the cell vectors:
Pb  0.0000  0.5000  0.5000
Ba  0.5000  0.0000  0.5000
As  0.5000  0.5000  0.0000
As  0.0000  0.0000  0.0000


No. 5
AlFe2ReC | GGA-PBE | optimized geometry

Results
Total energy = -42.60 eV/cell
DOS(E_F) = 3.54 states/eV/f.u.
E_form = -0.052 eV/atom
Space-group type = P4/mmm

Unit cell a=3.8337 b=3.8337 c=4.0470 alpha=90.00 beta=90.00 gamma=90.00
Site moments in Bohr magnetons follow the coordinates.
Sites, in units of the cell vectors:
Fe  0.0000  0.5000  0.0000  1.88
Al  0.5000  0.5000  0.5000  -0.03
Fe  0.5000  0.0000  0.0000  1.88
Re  0.0000  0.0000  0.5000  0.03
C  0.0000  0.0000  0.0000  -0.06


No. 6
SmScBe2Pd5 | GGA-PBE | optimized geometry

Results
Total energy = -50.38 eV/cell
DOS(E_F) = 3.89 states/eV/f.u.
E_form = -0.657 eV/atom
Space-group type = P4/mmm

Unit cell a=4.0494 b=4.0494 c=8.8003 alpha=90.00 beta=90.00 gamma=90.00
Sites, in units of the cell vectors:
Sm  0.0000  0.0000  0.5000
Pd  0.0000  0.5000  0.7542
Pd  0.5000  0.5000  0.5000
Be  0.5000  0.5000  0.8734
Sc  0.0000  0.0000  0.0000
Pd  0.5000  0.0000  0.7542
Pd  0.0000  0.5000  0.2458
Be  0.5000  0.5000  0.1266
Pd  0.5000  0.0000  0.2458


No. 7
CdSeF2 | GGA-PBE | optimized geometry

Results
Total energy = -10.72 eV/cell
DOS(E_F) = 2.10 states/eV/f.u.
ΔE to the lowest computed polymorph = 393 meV per atom
Space-group type = R-3m

Unit cell a=8.6112 b=8.6112 c=8.6112 alpha=19.70 beta=19.70 gamma=19.70
Sites, in units of the cell vectors:
F  0.0941  0.0941  0.0941
F  0.9059  0.9059  0.9059
Cd  0.0000  0.0000  0.0000
Se  0.5000  0.5000  0.5000


No. 8
MgInPdN2 | GGA-PBE | optimized geometry

Results
Total energy = -19.95 eV/cell
DOS(E_F) = 2.04 states/eV/f.u.
Space-group type = P4/mmm

Unit cell a=4.1264 b=5.7342 c=4.1264 alpha=90.00 beta=90.00 gamma=90.00
Site moments in Bohr magnetons follow the coordinates.
Sites, in units of the cell vectors:
In  0.0000  0.5000  0.0000  -0.01
Pd  0.0000  0.0000  0.0000  0.41
N  0.0000  0.0000  0.5000  0.90
N  0.5000  0.0000  0.0000  1.04
Mg  0.5000  0.5000  0.5000  0.00


No. 9
LiYEr4Se8 | GGA-PBE | optimized geometry

Results
Total energy = -79.42 eV/cell
DOS(E_F) = 0.00 states/eV/f.u.
Space-group type = R3m

Unit cell a=8.2985 b=8.2985 c=8.3224 alpha=60.09 beta=60.09 gamma=60.00
Sites, in units of the cell vectors:
Er  0.0053  0.4840  0.5053
Se  0.7653  0.2462  0.7424
Se  0.2444  0.2444  0.2667
Er  0.4840  0.0053  0.5053
Se  0.7570  0.2252  0.2607
Er  0.0053  0.0053  0.5053
Se  0.2252  0.7570  0.2607
Se  0.7587  0.7587  0.7238
Y  0.0051  0.0051  0.9846
Se  0.7570  0.7570  0.2607
Se  0.2462  0.2462  0.7424
Se  0.2462  0.7653  0.7424
Er  0.6255  0.6255  0.1235
Li  0.3746  0.3746  0.8762


No. 10
ZrFe2Pt2 | GGA-PBE | optimized geometry

Results
Total energy = -78.76 eV/cell
DOS(E_F) = 5.11 states/eV/f.u.
ΔE to the lowest computed polymorph = 0 meV per atom
E_form = -0.365 eV/atom
Space-group type = P4/mbm

Unit cell a=7.3987 b=7.3987 c=2.8275 alpha=90.00 beta=90.00 gamma=90.00
Site moments in Bohr magnetons follow the coordinates.
Sites, in units of the cell vectors:
Fe  0.1158  0.3842  0.0000  2.62
Pt  0.1780  0.6780  0.5000  0.26
Fe  0.6158  0.1158  0.0000  2.63
Pt  0.3220  0.1780  0.5000  0.25
Fe  0.3842  0.8842  0.0000  2.63
Zr  0.5000  0.5000  0.0000  -0.38
Pt  0.8220  0.3220  0.5000  0.26
Fe  0.8842  0.6158  0.0000  2.62
Pt  0.6780  0.8220  0.5000  0.25
Zr  0.0000  0.0000  0.0000  -0.38


No. 11
HfThS2N | GGA-PBE | optimized geometry

Results
Total energy = -83.88 eV/cell
DOS(E_F) = 1.65 states/eV/f.u.
Space-group type = P4/nmm

Unit cell a=3.8420 b=3.8420 c=13.3246 alpha=90.00 beta=90.00 gamma=90.00
Sites, in units of the cell vectors:
Th  0.5000  0.0000  0.5945
Th  0.0000  0.5000  0.4055
S  0.0000  0.5000  0.7190
Hf  0.0000  0.5000  0.9006
N  0.0000  0.0000  0.5000
S  0.5000  0.0000  0.2810
Hf  0.5000  0.0000  0.0994
S  0.5000  0.0000  0.9003
S  0.0000  0.5000  0.0997
N  0.5000  0.5000  0.5000